An optimized crystal structure of TaZnCrPd, computed with GGA-PBE.

Values from the calculation:
SG: Pm
Fermi-level density of states in states/eV/f.u.: 2.78
DFT formation energy in eV/atom: 0.060
Excess energy over the best structure of this formula in the dataset in eV per formula unit: 0.764
DFT total energy in eV per atom: -6.93

Cell and atoms, written as POSCAR:
```
TaZnCrPd
1.0
-1.3192 -1.7981 1.5297
3.4226 -2.7433 -0.2730
2.1912 2.3489 3.8685
Ta Zn Cr Pd
1 1 1 1
Direct
0.4597 0.5000 0.0568 Ta
0.0404 0.0000 0.2866 Zn
0.6469 0.0000 0.7903 Cr
0.0170 0.5000 0.5570 Pd
```